VASP calculation (PBE) on a geometry-optimized Th3ScC3 structure.

The calculation puts the density at 9.18 g/cm³. The electronic total energy is -8.31 eV per atom.

The structure belongs to space group Cmcm (No. 63); the cell edges are 9.942, 10.489 and 5.394 Å and the angles 90.00°, 90.00° and 90.00°. The inequivalent atoms are Th at (0.000, 0.117, 0.250), Th at (0.240, 0.376, 0.250), Sc at (0.000, 0.349, 0.750), C at (0.000, 0.123, 0.750) and C at (0.234, 0.372, 0.750).